Crystalline DyNiSb at its relaxed geometry. Source: OQMD, functional GGA-PBE.

It has space group P-62m (No. 189), with a = 7.1752 Å, b = 7.1752 Å, c = 4.1129 Å, α = 90.00°, β = 90.00° and γ = 120.00°. Symmetry generates all atoms from Dy at (0.0000, 0.6098, 0.0000), Ni at (0.0000, 0.0000, 0.0000), Ni at (0.3333, 0.6667, 0.5000) and Sb at (0.0000, 0.2763, 0.5000).

For the final energy, the calculation gives -5.508 eV/atom. The volume is 20.4 Å³ per atom.



Crystalline DyNiSb at its relaxed geometry. Source: OQMD, functional GGA-PBE.

It has space group P-62m (No. 189), with a = 7.0237 Å, b = 7.0237 Å, c = 4.3089 Å, α = 90.00°, β = 90.00° and γ = 120.00°. Symmetry generates all atoms from Dy at (0.0000, 0.5745, 0.0000), Ni at (0.0000, 0.2468, 0.5000), Sb at (0.0000, 0.0000, 0.0000) and Sb at (0.3333, 0.6667, 0.5000).

For the final energy, the calculation gives -5.473 eV/atom. The volume is 20.5 Å³ per atom.